# PBE PuPaTeI, relaxed
# Uncorrected energy   -122.5 eV/cell
data_PuPaTeI
_space_group_name_H-M_alt 'F -4 3 m'
_space_group_IT_number 216
_space_group_name_Hall 'F -4 2 3'
_cell_length_a 7.565
_cell_length_b 7.565
_cell_length_c 7.565
_cell_angle_alpha 90.00
_cell_angle_beta 90.00
_cell_angle_gamma 90.00
loop_
_atom_site_label
_atom_site_fract_x
_atom_site_fract_y
_atom_site_fract_z
Pu1 0.000 0.000 0.000
Pa1 0.000 0.000 0.500
Te1 0.250 0.250 0.250
I1 0.250 0.250 0.750